Entry 1:
Below is a relaxed structure of TeSe2Cl, with properties calculated at the PBE level.

Geometry as CIF:
```
data_TeSe2Cl
_cell_length_a 5.2415
_cell_length_b 17.6364
_cell_length_c 2.8734
_cell_angle_alpha 90.00
_cell_angle_beta 90.00
_cell_angle_gamma 90.00
_symmetry_space_group_name_H-M 'C m m m'
_symmetry_Int_Tables_number 65
_symmetry_space_group_name_Hall '-C 2 2'
loop_
_atom_site_label
_atom_site_type_symbol
_atom_site_fract_x
_atom_site_fract_y
_atom_site_fract_z
_atom_site_occupancy
Te1 Te 0.0000 0.0000 0.0000 1
Se1 Se 0.2500 0.2500 0.5000 1
Cl1 Cl 0.0000 0.5000 0.0000 1
```

Computed properties:
The density of states at the Fermi level is 5.17 states/eV per cell. For the total energy, the calculation gives -0.1032 hartree per atom. The total magnetic moment comes out at 0.000 μB/atom.


Entry 2:
Below is a relaxed structure of Te2RhBr, with properties calculated at the PBE level.

Geometry as CIF:
```
data_Te2RhBr
_cell_length_a 4.1305
_cell_length_b 4.1305
_cell_length_c 24.2632
_cell_angle_alpha 90.00
_cell_angle_beta 90.00
_cell_angle_gamma 120.00
_symmetry_space_group_name_H-M 'R -3 m'
_symmetry_Int_Tables_number 166
_symmetry_space_group_name_Hall '-R 3 2"'
loop_
_atom_site_label
_atom_site_type_symbol
_atom_site_fract_x
_atom_site_fract_y
_atom_site_fract_z
_atom_site_occupancy
Te1 Te 0.0000 0.0000 0.1160 1
Rh1 Rh 0.0000 0.0000 0.5000 1
Br1 Br 0.0000 0.0000 0.0000 1
```

Computed properties:
The density of states at the Fermi level is 4.86 states/eV per cell. For the total energy, the calculation gives -0.1535 hartree per atom. The total magnetic moment comes out at 0.000 μB/atom.


Entry 3:
Below is a relaxed structure of Nd12SmHo6, with properties calculated at the PBE level.

Geometry as CIF:
```
data_Nd12SmHo6
_cell_length_a 14.8757
_cell_length_b 14.8757
_cell_length_c 10.4949
_cell_angle_alpha 90.00
_cell_angle_beta 90.00
_cell_angle_gamma 120.00
_symmetry_space_group_name_H-M 'R -3'
_symmetry_Int_Tables_number 148
_symmetry_space_group_name_Hall '-R 3'
loop_
_atom_site_label
_atom_site_type_symbol
_atom_site_fract_x
_atom_site_fract_y
_atom_site_fract_z
_atom_site_occupancy
Nd1 Nd 0.0545 0.8014 0.0804 1
Nd2 Nd 0.0640 0.8390 0.4183 1
Sm1 Sm 0.0000 0.0000 0.0000 1
Ho1 Ho 0.0511 0.8348 0.7590 1
```

Computed properties:
The calculation puts the formation energy at 0.235 eV per atom. The density of states at the Fermi level is 85.04 states/eV per cell. The total magnetic moment comes out at 0.000 μB/atom.


Entry 4:
Below is a relaxed structure of Ca2HoGa, with properties calculated at the PBE level.

Geometry as CIF:
```
data_Ca2HoGa
_cell_length_a 3.5992
_cell_length_b 3.5992
_cell_length_c 36.6789
_cell_angle_alpha 90.00
_cell_angle_beta 90.00
_cell_angle_gamma 120.00
_symmetry_space_group_name_H-M 'R -3 m'
_symmetry_Int_Tables_number 166
_symmetry_space_group_name_Hall '-R 3 2"'
loop_
_atom_site_label
_atom_site_type_symbol
_atom_site_fract_x
_atom_site_fract_y
_atom_site_fract_z
_atom_site_occupancy
Ca1 Ca 0.0000 0.0000 0.0839 1
Ho1 Ho 0.0000 0.0000 0.5000 1
Ga1 Ga 0.0000 0.0000 0.0000 1
```

Computed properties:
The calculation puts the formation energy at 0.211 eV per atom. The density of states at the Fermi level is 17.34 states/eV per cell. The total magnetic moment comes out at 0.000 μB/atom.


Entry 5:
Below is a relaxed structure of Y2MnAu, with properties calculated at the PBE level.

Geometry as CIF:
```
data_Y2MnAu
_cell_length_a 11.9158
_cell_length_b 3.5160
_cell_length_c 4.8745
_cell_angle_alpha 90.00
_cell_angle_beta 113.75
_cell_angle_gamma 90.00
_symmetry_space_group_name_H-M 'C 1 m 1'
_symmetry_Int_Tables_number 8
_symmetry_space_group_name_Hall 'C -2y'
loop_
_atom_site_label
_atom_site_type_symbol
_atom_site_fract_x
_atom_site_fract_y
_atom_site_fract_z
_atom_site_occupancy
Y1 Y 0.0000 0.0000 0.0000 1
Y2 Y 0.2151 0.0000 0.7121 1
Mn1 Mn 0.4438 0.0000 0.4446 1
Au1 Au 0.2549 0.5000 0.2513 1
```

Computed properties:
The calculation puts the formation energy at -0.239 eV per atom. The density of states at the Fermi level is 5.47 states/eV per cell. The total magnetic moment comes out at 0.779 μB/atom.


Entry 6:
Below is a relaxed structure of MgAuF2, with properties calculated at the PBE level.

Geometry as CIF:
```
data_MgAuF2
_cell_length_a 2.9510
_cell_length_b 2.9510
_cell_length_c 27.4382
_cell_angle_alpha 90.00
_cell_angle_beta 90.00
_cell_angle_gamma 120.00
_symmetry_space_group_name_H-M 'R -3 m'
_symmetry_Int_Tables_number 166
_symmetry_space_group_name_Hall '-R 3 2"'
loop_
_atom_site_label
_atom_site_type_symbol
_atom_site_fract_x
_atom_site_fract_y
_atom_site_fract_z
_atom_site_occupancy
Mg1 Mg 0.0000 0.0000 0.0000 1
Au1 Au 0.0000 0.0000 0.5000 1
F1 F 0.0000 0.0000 0.3698 1
```

Computed properties:
The density of states at the Fermi level is 0.75 states/eV per cell. For the total energy, the calculation gives -0.1683 hartree per atom. The total magnetic moment comes out at 0.000 μB/atom.


Entry 7:
Below is a relaxed structure of Al3ZnPd, with properties calculated at the PBE level.

Geometry as CIF:
```
data_Al3ZnPd
_cell_length_a 4.6079
_cell_length_b 4.6079
_cell_length_c 4.6079
_cell_angle_alpha 90.00
_cell_angle_beta 90.00
_cell_angle_gamma 90.00
_symmetry_space_group_name_H-M 'P m -3 m'
_symmetry_Int_Tables_number 221
_symmetry_space_group_name_Hall '-P 4 2 3'
loop_
_atom_site_label
_atom_site_type_symbol
_atom_site_fract_x
_atom_site_fract_y
_atom_site_fract_z
_atom_site_occupancy
Al1 Al 0.0000 0.0000 0.5000 1
Zn1 Zn 0.0000 0.0000 0.0000 1
Pd1 Pd 0.5000 0.5000 0.5000 1
```

Computed properties:
The calculation puts the formation energy at 0.511 eV per atom. The density of states at the Fermi level is 2.66 states/eV per cell. The total magnetic moment comes out at 0.000 μB/atom.


Entry 8:
Below is a relaxed structure of Ca2RuF, with properties calculated at the PBE level.

Geometry as CIF:
```
data_Ca2RuF
_cell_length_a 6.7032
_cell_length_b 6.7032
_cell_length_c 7.6836
_cell_angle_alpha 90.00
_cell_angle_beta 90.00
_cell_angle_gamma 90.00
_symmetry_space_group_name_H-M 'I -4 2 d'
_symmetry_Int_Tables_number 122
_symmetry_space_group_name_Hall 'I -4 2bw'
loop_
_atom_site_label
_atom_site_type_symbol
_atom_site_fract_x
_atom_site_fract_y
_atom_site_fract_z
_atom_site_occupancy
Ca1 Ca 0.1862 0.2500 0.1250 1
Ru1 Ru 0.0000 0.0000 0.5000 1
F1 F 0.0000 0.0000 0.0000 1
```

Computed properties:
The density of states at the Fermi level is 11.36 states/eV per cell. For the total energy, the calculation gives -0.1730 hartree per atom. The total magnetic moment comes out at 0.236 μB/atom.


Entry 9:
Below is a relaxed structure of Dy2PdCl, with properties calculated at the PBE level.

Geometry as CIF:
```
data_Dy2PdCl
_cell_length_a 4.2268
_cell_length_b 4.2268
_cell_length_c 24.4107
_cell_angle_alpha 90.00
_cell_angle_beta 90.00
_cell_angle_gamma 120.00
_symmetry_space_group_name_H-M 'R -3 m'
_symmetry_Int_Tables_number 166
_symmetry_space_group_name_Hall '-R 3 2"'
loop_
_atom_site_label
_atom_site_type_symbol
_atom_site_fract_x
_atom_site_fract_y
_atom_site_fract_z
_atom_site_occupancy
Dy1 Dy 0.0000 0.0000 0.1091 1
Pd1 Pd 0.0000 0.0000 0.5000 1
Cl1 Cl 0.0000 0.0000 0.0000 1
```

Computed properties:
The density of states at the Fermi level is 4.98 states/eV per cell. For the total energy, the calculation gives -0.1895 hartree per atom. The total magnetic moment comes out at 0.000 μB/atom.


Entry 10:
Below is a relaxed structure of LiAu2Cl, with properties calculated at the PBE level.

Geometry as CIF:
```
data_LiAu2Cl
_cell_length_a 3.7014
_cell_length_b 3.7014
_cell_length_c 5.5364
_cell_angle_alpha 90.00
_cell_angle_beta 90.00
_cell_angle_gamma 90.00
_symmetry_space_group_name_H-M 'P 4/m m m'
_symmetry_Int_Tables_number 123
_symmetry_space_group_name_Hall '-P 4 2'
loop_
_atom_site_label
_atom_site_type_symbol
_atom_site_fract_x
_atom_site_fract_y
_atom_site_fract_z
_atom_site_occupancy
Li1 Li 0.0000 0.0000 0.0000 1
Au1 Au 0.5000 0.5000 0.2354 1
Cl1 Cl 0.0000 0.0000 0.5000 1
```

Computed properties:
The density of states at the Fermi level is 1.15 states/eV per cell. For the total energy, the calculation gives -0.1044 hartree per atom. The total magnetic moment comes out at 0.000 μB/atom.


Entry 11:
Below is a relaxed structure of Cs3KCd2Cl8, with properties calculated at the PBE level.

Geometry as CIF:
```
data_Cs3KCd2Cl8
_cell_length_a 7.9216
_cell_length_b 7.9216
_cell_length_c 9.9891
_cell_angle_alpha 90.00
_cell_angle_beta 90.00
_cell_angle_gamma 120.00
_symmetry_space_group_name_H-M 'P -3 m 1'
_symmetry_Int_Tables_number 164
_symmetry_space_group_name_Hall '-P 3 2"'
loop_
_atom_site_label
_atom_site_type_symbol
_atom_site_fract_x
_atom_site_fract_y
_atom_site_fract_z
_atom_site_occupancy
Cs1 Cs 0.0000 0.0000 0.0000 1
Cs2 Cs 0.3333 0.6667 0.6198 1
K1 K 0.0000 0.0000 0.5000 1
Cd1 Cd 0.3333 0.6667 0.1955 1
Cl1 Cl 0.1693 0.3385 0.3061 1
Cl2 Cl 0.3333 0.6667 0.9525 1
```

Computed properties:
The density of states at the Fermi level is 0.00 states/eV per cell. For the total energy, the calculation gives -0.1123 hartree per atom. The total magnetic moment comes out at 0.000 μB/atom.


Entry 12:
Below is a relaxed structure of CeEr2Rh, with properties calculated at the PBE level.

Geometry as CIF:
```
data_CeEr2Rh
_cell_length_a 3.4387
_cell_length_b 3.4387
_cell_length_c 31.4280
_cell_angle_alpha 90.00
_cell_angle_beta 90.00
_cell_angle_gamma 120.00
_symmetry_space_group_name_H-M 'R -3 m'
_symmetry_Int_Tables_number 166
_symmetry_space_group_name_Hall '-R 3 2"'
loop_
_atom_site_label
_atom_site_type_symbol
_atom_site_fract_x
_atom_site_fract_y
_atom_site_fract_z
_atom_site_occupancy
Ce1 Ce 0.0000 0.0000 0.0000 1
Er1 Er 0.0000 0.0000 0.1060 1
Rh1 Rh 0.0000 0.0000 0.5000 1
```

Computed properties:
The calculation puts the formation energy at -0.136 eV per atom. The density of states at the Fermi level is 21.94 states/eV per cell. The total magnetic moment comes out at 0.211 μB/atom.


Question: Number 11 is which compound?
Answer: Cs3KCd2Cl8